The following is a DFT calculation (GGA-PBE) of a relaxed Ca2TlSn2Hg2 crystal.

The structure in POSCAR format:
```
Ca2TlSn2Hg2
1.0
2.583 1.491 8.891
-2.583 1.491 8.891
0.000 -2.983 8.891
Ca Tl Sn Hg
2 1 2 2
Cartesian
0.000 0.000 3.430
0.000 0.000 23.242
0.000 0.000 0.000
0.000 0.000 6.949
0.000 0.000 19.724
0.000 0.000 11.618
0.000 0.000 15.054
```

Calculated values
* crystal system: trigonal
* energy of formation: -0.282 eV per atom
* electronic total energy: -16.9 eV per cell
* calculated density: 7.46 g cm⁻³